[1]
First-principles (PBE) data for a relaxed LaErCd crystal, as listed in OQMD via LeMat-Bulk. Values from VASP.

Summary:
formation energy: 0.461 eV per atom

```
&SYSTEM
  ibrav = 0, nat = 3, ntyp = 3
/
ATOMIC_SPECIES
Er 167.26 Er.upf
Cd 112.41 Cd.upf
La 138.91 La.upf
CELL_PARAMETERS angstrom
0.0000 3.6909 3.6909
3.6909 0.0000 3.6909
3.6909 3.6909 0.0000
ATOMIC_POSITIONS angstrom
Er 5.5364 5.5364 5.5364
Cd 1.8455 1.8455 1.8455
La 0.0000 0.0000 0.0000
```

***

[2]
First-principles (PBE) data for a relaxed Pr2NiGe4Pt crystal, as listed in OQMD via LeMat-Bulk. Values from VASP.

Summary:
DFT total energy: -5.77 eV/atom

```
&SYSTEM
  ibrav = 0, nat = 8, ntyp = 4
/
ATOMIC_SPECIES
Pt 195.08 Pt.upf
Ge 72.64 Ge.upf
Ni 58.69 Ni.upf
Pr 140.91 Pr.upf
CELL_PARAMETERS angstrom
-2.3211 0.9941 -3.5425
-5.5367 4.7673 4.9654
-2.5059 7.5856 3.7705
ATOMIC_POSITIONS angstrom
Pt -2.5955 2.7010 -0.2126
Ge -7.2440 9.8408 4.8366
Ge -7.6988 11.8249 8.3626
Ge -1.4405 0.9270 -1.4672
Ge -2.0475 3.1449 2.2240
Ni -6.5963 10.1315 7.1650
Pr -4.8791 7.4940 5.2997
Pr -4.3108 5.3356 1.6506
```

***

[3]
First-principles (PBE) data for a relaxed NbCdGaCu crystal, as listed in OQMD via LeMat-Bulk. Values from VASP.

Summary:
excess energy over the best structure of this formula in the dataset: 0 meV per atom

```
&SYSTEM
  ibrav = 0, nat = 4, ntyp = 4
/
ATOMIC_SPECIES
Cu 63.55 Cu.upf
Nb 92.91 Nb.upf
Ga 69.72 Ga.upf
Cd 112.41 Cd.upf
CELL_PARAMETERS angstrom
-4.2913 -1.4998 0.3507
-3.4478 2.5875 -1.4851
-2.3068 -1.2053 -3.7435
ATOMIC_POSITIONS angstrom
Cu -7.5344 -0.0882 -3.6585
Nb -2.5115 -0.0294 -1.2195
Ga 0.0000 0.0000 0.0000
Cd -5.0229 -0.0588 -2.4390
```

***

[4]
First-principles (PBE) data for a relaxed Rb2Tc crystal, as listed in OQMD via LeMat-Bulk. Values from VASP.

Summary:
excess energy over the best structure of this formula in the dataset: 36 meV per atom

```
&SYSTEM
  ibrav = 0, nat = 6, ntyp = 2
/
ATOMIC_SPECIES
Tc 98.00 Tc.upf
Rb 85.47 Rb.upf
CELL_PARAMETERS angstrom
5.2813 -8.8175 2.6789
9.6659 0.7123 4.3450
1.4123 -2.4402 10.2405
ATOMIC_POSITIONS angstrom
Tc 8.1798 -5.2727 8.6322
Tc 4.0899 -2.6363 4.3161
Rb 6.1348 -3.9545 6.4741
Rb 8.7755 -8.3632 7.8136
Rb 6.8410 -5.1746 11.5943
Rb 10.9678 -3.5984 8.6466
```

***

[5]
First-principles (PBE) data for a relaxed NaIr5 crystal, as listed in OQMD via LeMat-Bulk. Values from VASP.

Summary:
DFT total energy: -7.22 eV/atom

```
&SYSTEM
  ibrav = 0, nat = 6, ntyp = 2
/
ATOMIC_SPECIES
Na 22.99 Na.upf
Ir 192.22 Ir.upf
CELL_PARAMETERS angstrom
5.2668 0.0000 0.0000
-2.6334 4.5612 0.0000
0.0000 0.0000 4.3297
ATOMIC_POSITIONS angstrom
Na 0.0000 0.0000 0.0000
Ir 0.0000 3.0408 0.0000
Ir -1.3167 2.2806 2.1649
Ir 2.6334 0.0000 2.1649
Ir 1.3167 2.2806 2.1649
Ir 2.6334 1.5204 0.0000
```

***

[6]
First-principles (PBE) data for a relaxed NdTcW crystal, as listed in OQMD via LeMat-Bulk. Values from VASP.

Summary:
formation energy: 1.996 eV per atom
excess energy over the best structure of this formula in the dataset: 1104 meV per atom

```
&SYSTEM
  ibrav = 0, nat = 3, ntyp = 3
/
ATOMIC_SPECIES
Tc 98.00 Tc.upf
W 183.84 W.upf
Nd 144.24 Nd.upf
CELL_PARAMETERS angstrom
0.0000 3.2124 3.2124
3.2124 0.0000 3.2124
3.2124 3.2124 0.0000
ATOMIC_POSITIONS angstrom
Tc 1.6062 1.6062 1.6062
W 4.8185 4.8185 4.8185
Nd 0.0000 0.0000 0.0000
```